# 1
## Zn2CoOs (PBE)

Data for a relaxed Zn2CoOs crystal.

abc: 4.203 4.203 4.203
angles: 60.00 60.00 60.00
Element x y z (fractional)
1 Zn 0.250 0.250 0.250
2 Zn 0.750 0.750 0.750
3 Co 0.000 0.000 0.000
4 Os 0.500 0.500 0.500

## Properties
Magnetization ... 1.7 Bohr magnetons per cell
Energy relative to the lowest polymorph listed for this composition ... 72 meV/atom
Formation enthalpy at 0 K ... 0.286 eV per atom

***

# 2
## Ho2FePt (PBE)

Data for a relaxed Ho2FePt crystal.

abc: 4.197 7.373 5.587
angles: 90.00 90.00 90.00
Element x y z (fractional)
1 Ho 0.000 0.074 0.000
2 Ho 0.000 0.576 0.260
3 Ho 0.500 0.424 0.760
4 Ho 0.500 0.926 0.500
5 Fe 0.000 0.713 0.768
6 Fe 0.500 0.287 0.268
7 Pt 0.000 0.210 0.500
8 Pt 0.500 0.790 0.000

## Properties
Magnetization ... 3.7 Bohr magnetons per cell
Formation enthalpy at 0 K ... -0.562 eV per atom

***

# 3
## LiTeAsW (PBE)

Data for a relaxed LiTeAsW crystal.

abc: 4.695 4.695 4.695
angles: 60.00 60.00 60.00
Element x y z (fractional)
1 Li 0.000 0.000 0.000
2 Te 0.500 0.500 0.500
3 As 0.250 0.250 0.250
4 W 0.750 0.750 0.750

## Properties
Magnetization ... 1.6 Bohr magnetons per cell
Energy relative to the lowest polymorph listed for this composition ... 594 meV/atom

***

# 4
## Cu2Te2Pb (PBE)

Data for a relaxed Cu2Te2Pb crystal.

abc: 8.951 8.871 6.443
angles: 90.00 90.00 90.00
Element x y z (fractional)
1 Cu 0.125 0.095 0.250
2 Cu 0.125 0.405 0.750
3 Cu 0.277 0.250 0.000
4 Cu 0.277 0.250 0.500
5 Cu 0.723 0.750 0.000
6 Cu 0.723 0.750 0.500
7 Cu 0.875 0.595 0.250
8 Cu 0.875 0.905 0.750
9 Te 0.088 0.095 0.750
10 Te 0.088 0.405 0.250
11 Te 0.422 0.074 0.250
12 Te 0.422 0.426 0.750
13 Te 0.578 0.574 0.250
14 Te 0.578 0.926 0.750
15 Te 0.912 0.595 0.750
16 Te 0.912 0.905 0.250
17 Pb 0.248 0.738 0.750
18 Pb 0.248 0.762 0.250
19 Pb 0.752 0.238 0.750
20 Pb 0.752 0.262 0.250

## Properties
Final energy ... -3.5133 eV per atom

***

# 5
## MgTaBeIr (PBE)

Data for a relaxed MgTaBeIr crystal.

abc: 4.349 4.349 4.349
angles: 60.00 60.00 60.00
Element x y z (fractional)
1 Mg 0.000 0.000 0.000
2 Ta 0.250 0.250 0.250
3 Be 0.750 0.750 0.750
4 Ir 0.500 0.500 0.500

## Properties
Magnetization ... 0.0 Bohr magnetons per cell
Energy relative to the lowest polymorph listed for this composition ... 38 meV/atom

***

# 6
## LaMgZrIr (PBE)

Data for a relaxed LaMgZrIr crystal.

abc: 4.904 4.904 4.904
angles: 60.00 60.00 60.00
Element x y z (fractional)
1 La 0.000 0.000 0.000
2 Mg 0.500 0.500 0.500
3 Zr 0.250 0.250 0.250
4 Ir 0.750 0.750 0.750

## Properties
Magnetization ... 0.0 Bohr magnetons per cell
Energy relative to the lowest polymorph listed for this composition ... 132 meV/atom